Material: Ho5Si2B8
Method: DFT, PBEsol
State: relaxed

POSCAR file:
```
Ho5Si2B8
1.0
7.1581 0.0000 0.0000
0.0000 7.1581 0.0000
0.0000 0.0000 7.9281
Ho Si B
10 4 16
Direct
0.0000 0.0000 0.0000
0.1810 0.3190 0.2761
0.1810 0.3190 0.7239
0.3190 0.8190 0.2761
0.3190 0.8190 0.7239
0.5000 0.5000 0.0000
0.6810 0.1810 0.2761
0.6810 0.1810 0.7239
0.8190 0.6810 0.2761
0.8190 0.6810 0.7239
0.1159 0.6159 0.0000
0.3841 0.1159 0.0000
0.6159 0.8841 0.0000
0.8841 0.3841 0.0000
0.0000 0.0000 0.3351
0.0000 0.0000 0.6649
0.0395 0.8273 0.5000
0.0900 0.5900 0.5000
0.1727 0.0395 0.5000
0.3273 0.5395 0.5000
0.4100 0.0900 0.5000
0.4605 0.3273 0.5000
0.5000 0.5000 0.3351
0.5000 0.5000 0.6649
0.5395 0.6727 0.5000
0.5900 0.9100 0.5000
0.6727 0.4605 0.5000
0.8273 0.9605 0.5000
0.9100 0.4100 0.5000
0.9605 0.1727 0.5000
```

Values from the calculation:
SG: P4/mbm (127)



Material: BI3
Method: DFT, PBEsol
State: relaxed

POSCAR file:
```
BI3
1.0
7.0160 0.0000 0.0000
-3.5080 6.0760 0.0000
0.0000 0.0000 7.2303
B I
2 6
Direct
0.3333 0.6667 0.2500
0.6667 0.3333 0.7500
0.0460 0.6936 0.2500
0.3064 0.3524 0.2500
0.3524 0.0460 0.7500
0.6476 0.9540 0.2500
0.6936 0.6476 0.7500
0.9540 0.3064 0.7500
```

Values from the calculation:
SG: P6_3/m (176)



Material: InB2I2
Method: DFT, PBEsol
State: relaxed

POSCAR file:
```
InB2I2
1.0
6.3149 0.0000 0.0000
0.0000 6.3149 0.0000
0.0000 0.0000 6.0286
In B I
2 4 4
Direct
0.0000 0.0000 0.0000
0.5000 0.5000 0.5000
0.0000 0.0000 0.3663
0.0000 0.0000 0.6337
0.5000 0.5000 0.1337
0.5000 0.5000 0.8663
0.0000 0.5000 0.2500
0.0000 0.5000 0.7500
0.5000 0.0000 0.2500
0.5000 0.0000 0.7500
```

Values from the calculation:
SG: I4/mmm (139)



Material: Nb2InBI
Method: DFT, PBEsol
State: relaxed

POSCAR file:
```
Nb2InBI
1.0
5.0826 0.0000 0.0000
0.0000 5.0826 0.0000
0.0000 0.0000 4.3179
Nb In B I
2 1 1 1
Direct
0.0000 0.5000 0.0000
0.5000 0.0000 0.0000
0.0000 0.0000 0.5000
0.5000 0.5000 0.5000
0.5000 0.5000 0.0000
```

Values from the calculation:
SG: P4/mmm (123)



no.,raw formation energy (eV/atom),Fermi-level density of states (states/eV/cell)
1,-0.7407,8.43
2,0.0123,0.00
3,0.9806,4.95
4,1.8618,6.02